Version P
{"formula": "BIrSeN2", "functional": "PBE", "state": "relaxed", "lattice": [[3.719, 0.000, 0.000], [0.000, 3.719, 0.000], [0.000, 0.000, 5.543]], "species": ["B", "Ir", "Se", "N", "N"], "fractional_positions": [[0.500, 0.500, 0.500], [0.000, 0.000, 0.000], [0.000, 0.000, 0.500], [0.000, 0.500, 0.000], [0.500, 0.000, 0.000]], "density_kg_m3": 6713, "space_group": "P4/mmm (123)", "dos_ef_per_ev_atom": 0.545}

=====

Version Q
{"formula": "BIrSeN2", "functional": "PBE", "state": "relaxed", "lattice": [[-0.913, -0.357, -3.386], [1.993, -2.898, -0.232], [-3.436, -2.458, 1.185]], "species": ["B", "Ir", "Se", "N", "N"], "fractional_positions": [[0.000, 0.000, 0.000], [0.500, 0.500, 0.500], [0.000, 0.000, 0.500], [0.000, 0.500, 0.000], [0.500, 0.000, 0.000]], "density_kg_m3": 9444, "space_group": "P4/mmm (123)", "dos_ef_per_ev_atom": 0.794}

=====

Name the most stable of them. version P.

=====

Version P
{"formula": "BTe2IrN", "functional": "PBE", "state": "relaxed", "lattice": [[-0.686, 1.972, -5.107], [-5.436, 0.364, 0.871], [0.426, 3.377, 1.247]], "species": ["B", "Ir", "Te", "Te", "N"], "fractional_positions": [[0.500, 0.500, 0.500], [0.000, 0.000, 0.000], [0.000, 0.500, 0.000], [0.500, 0.000, 0.000], [0.000, 0.000, 0.500]], "density_kg_m3": 7107, "space_group": "P4/mmm (123)", "dos_ef_per_ev_atom": 0.698}

=====

Version Q
{"formula": "BTe2IrN", "functional": "PBE", "state": "relaxed", "lattice": [[-3.857, 1.772, -3.187], [0.640, -4.238, -3.132], [-1.941, -1.438, 1.550]], "species": ["B", "Ir", "Te", "Te", "N"], "fractional_positions": [[0.000, 0.000, 0.000], [0.500, 0.500, 0.500], [0.000, 0.500, 0.000], [0.500, 0.000, 0.000], [0.000, 0.000, 0.500]], "density_kg_m3": 9696, "space_group": "P4/mmm (123)", "dos_ef_per_ev_atom": 0.745}

=====

Name the most stable of them. version Q.